(1)
Computed, not measured: a geometry-optimized Li2PPb structure at the PBEsol level of DFT.

a b c (Å): 6.5609 6.5609 6.5609
angles (deg): 90.00 90.00 90.00
Closest atoms and distances in Å follow each position.
Space group Fm-3m (No. 225)
Unique sites:
Li: 0.2500 0.2500 0.2500 (multiplicity 8)  4 Pb 2.84, 4 P 2.84
P: 0.0000 0.0000 0.0000 (multiplicity 4)  8 Li 2.84
Pb: 0.0000 0.0000 0.5000 (multiplicity 4)  8 Li 2.84

## Properties
DOS at the Fermi energy (states/eV/cell): 5.19
Formation energy from the elements (eV/f.u.): -0.92
Total magnetization (μB per cell): 0.00
Offset from the most stable computed form (eV/atom): 0.0962
ρ (Mg/m³): 5.9

***

(2)
Computed, not measured: a geometry-optimized CsAg2SCl structure at the PBEsol level of DFT.

a b c (Å): 4.8785 4.8785 6.5004
angles (deg): 90.00 90.00 90.00
Closest atoms and distances in Å follow each position.
Space group P4/mmm (No. 123)
Unique sites:
Cs: 0.0000 0.0000 0.0000 (multiplicity 1)  4 S 3.45
Ag: 0.0000 0.5000 0.5000 (multiplicity 2)  2 Cl 2.44
S: 0.5000 0.5000 0.0000 (multiplicity 1)  2 Cl 3.25, 4 Cs 3.45
Cl: 0.5000 0.5000 0.5000 (multiplicity 1)  4 Ag 2.44

## Properties
DOS at the Fermi energy (states/eV/cell): 3.17
Total magnetization (μB per cell): 0.67
ρ (Mg/m³): 4.5
Formation energy (no corrections) (eV/atom): 0.1971

***

(3)
Computed, not measured: a geometry-optimized ZrTl2 structure at the PBEsol level of DFT.

a b c (Å): 3.1899 4.1642 10.5161
angles (deg): 90.00 90.00 90.00
Closest atoms and distances in Å follow each position.
Space group Immm (No. 71)
Unique sites:
Zr: 0.0000 0.0000 0.0000 (multiplicity 2)  8 Tl 3.14, 2 Zr 3.19
Tl: 0.0000 0.0000 0.3365 (multiplicity 4)  4 Zr 3.14, 7 Tl 3.19-3.44

## Properties
DOS at the Fermi energy (states/eV/cell): 5.00
Formation energy from the elements (eV/f.u.): 0.34
Total magnetization (μB per cell): 0.00
ρ (Mg/m³): 11.9

***

(4)
Computed, not measured: a geometry-optimized CsCa2TlP structure at the PBEsol level of DFT.

a b c (Å): 5.9188 5.9188 5.4485
angles (deg): 90.00 90.00 90.00
Closest atoms and distances in Å follow each position.
Space group P4/mmm (No. 123)
Unique sites:
Cs: 0.0000 0.0000 0.0000 (multiplicity 1)  8 Ca 4.02, 4 P 4.19
Ca: 0.0000 0.5000 0.5000 (multiplicity 2)  2 Tl 2.96
Tl: 0.5000 0.5000 0.5000 (multiplicity 1)  2 P 2.72, 4 Ca 2.96
P: 0.5000 0.5000 0.0000 (multiplicity 1)  2 Tl 2.72

## Properties
DOS at the Fermi energy (states/eV/cell): 3.96
Formation energy from the elements (eV/f.u.): 0.97
Total magnetization (μB per cell): 0.00
ρ (Mg/m³): 3.9

***

(5)
Computed, not measured: a geometry-optimized MoPCCl2 structure at the PBEsol level of DFT.

a b c (Å): 4.1217 4.1217 4.2398
angles (deg): 90.00 90.00 90.00
Closest atoms and distances in Å follow each position.
Space group P4/mmm (No. 123)
Unique sites:
Mo: 0.0000 0.0000 0.0000 (multiplicity 1)  4 P 2.91, 8 Cl 2.96
P: 0.5000 0.5000 0.0000 (multiplicity 1)  2 C 2.12
C: 0.5000 0.5000 0.5000 (multiplicity 1)  4 Cl 2.06, 2 P 2.12
Cl: 0.0000 0.5000 0.5000 (multiplicity 2)  2 C 2.06

## Properties
DOS at the Fermi energy (states/eV/cell): 3.29
Total magnetization (μB per cell): 2.74
Offset from the most stable computed form (eV/atom): 0.0057
ρ (Mg/m³): 4.8
Formation energy (no corrections) (eV/atom): 1.4281

***

(6)
Computed, not measured: a geometry-optimized LiV3O4 structure at the PBEsol level of DFT.

a b c (Å): 4.1182 4.1182 8.1544
angles (deg): 90.00 90.00 90.00
Closest atoms and distances in Å follow each position.
Space group I4/mmm (No. 139)
Unique sites:
Li: 0.0000 0.0000 0.0000 (multiplicity 2)  6 O 1.98-2.06
V: 0.0000 0.0000 0.5000 (multiplicity 2)  6 O 2.06-2.09
V: 0.0000 0.5000 0.2500 (multiplicity 4)  6 O 2.04-2.06
O: 0.0000 0.0000 0.2433 (multiplicity 4)  1 Li 1.98, 5 V 2.06-2.09
O: 0.0000 0.5000 0.0000 (multiplicity 4)  4 V 2.04-2.06, 2 Li 2.06

## Properties
DOS at the Fermi energy (states/eV/cell): 9.94
Total magnetization (μB per cell): 3.05
Offset from the most stable computed form (eV/atom): 0.0142
ρ (Mg/m³): 5.4
Formation energy (no corrections) (eV/atom): -1.9961

***

(7)
Computed, not measured: a geometry-optimized LaScIn structure at the PBEsol level of DFT.

a b c (Å): 5.0739 5.0739 3.7401
angles (deg): 90.00 90.00 120.00
Closest atoms and distances in Å follow each position.
Space group P3m1 (No. 156)
Unique sites:
La: 0.0000 0.0000 0.0000 (multiplicity 1)  6 In 3.47-3.48, 6 Sc 3.47-3.48, 2 La 3.74
Sc: 0.3333 0.6667 0.4978 (multiplicity 1)  3 In 2.93
In: 0.6667 0.3333 0.5033 (multiplicity 1)  3 Sc 2.93

## Properties
DOS at the Fermi energy (states/eV/cell): 3.18
Formation energy from the elements (eV/f.u.): -0.83
Total magnetization (μB per cell): 0.00
Offset from the most stable computed form (eV/atom): 0.0000
ρ (Mg/m³): 5.9

***

(8)
Computed, not measured: a geometry-optimized Li2GePbS4 structure at the PBEsol level of DFT.

a b c (Å): 6.4964 6.4964 7.6708
angles (deg): 90.00 90.00 90.00
Closest atoms and distances in Å follow each position.
Space group I-42m (No. 121)
Unique sites:
Li: 0.0000 0.5000 0.2500 (multiplicity 4)  4 S 2.43
Ge: 0.0000 0.0000 0.0000 (multiplicity 2)  4 S 2.22
Pb: 0.0000 0.0000 0.5000 (multiplicity 2)  8 S 3.05-3.15
S: 0.1983 0.1983 0.1652 (multiplicity 8)  1 Ge 2.22, 2 Li 2.43

## Properties
DOS at the Fermi energy (states/eV/cell): 0.00
Total magnetization (μB per cell): 0.00
ρ (Mg/m³): 4.3
Formation energy (no corrections) (eV/atom): -0.8315

***

(9)
Computed, not measured: a geometry-optimized AlWAu2 structure at the PBEsol level of DFT.

a b c (Å): 2.9061 4.6719 4.7522
angles (deg): 90.00 90.00 90.00
Closest atoms and distances in Å follow each position.
Space group Pmmm (No. 47)
Unique sites:
Al: 0.0000 0.0000 0.0000 (multiplicity 1)  4 W 2.75, 4 Au 2.79, 2 Al 2.91
W: 0.5000 0.5000 0.0000 (multiplicity 1)  4 Al 2.75, 4 Au 2.79, 2 W 2.91
Au: 0.0000 0.5000 0.5000 (multiplicity 1)  6 Au 2.75-2.91, 4 W 2.79
Au: 0.5000 0.0000 0.5000 (multiplicity 1)  6 Au 2.75-2.91, 4 Al 2.79

## Properties
DOS at the Fermi energy (states/eV/cell): 2.53
Formation energy from the elements (eV/f.u.): 0.86
Total magnetization (μB per cell): 0.00
ρ (Mg/m³): 15.6

***

(10)
Computed, not measured: a geometry-optimized Sc2GaBr structure at the PBEsol level of DFT.

a b c (Å): 6.8318 6.8318 6.8318
angles (deg): 90.00 90.00 90.00
Closest atoms and distances in Å follow each position.
Space group Fm-3m (No. 225)
Unique sites:
Sc: 0.2500 0.2500 0.2500 (multiplicity 8)  4 Br 2.96, 4 Ga 2.96
Ga: 0.0000 0.0000 0.0000 (multiplicity 4)  8 Sc 2.96
Br: 0.0000 0.0000 0.5000 (multiplicity 4)  8 Sc 2.96

## Properties
DOS at the Fermi energy (states/eV/cell): 9.14
Total magnetization (μB per cell): 0.00
ρ (Mg/m³): 5.0
Formation energy (no corrections) (eV/atom): -0.5050

***

(11)
Computed, not measured: a geometry-optimized Ta2AgRh structure at the PBEsol level of DFT.

a b c (Å): 2.8202 4.0543 5.5996
angles (deg): 90.00 90.67 90.00
Closest atoms and distances in Å follow each position.
Space group P2/m (No. 10)
Unique sites:
Ta: 0.0042 0.0000 0.2610 (multiplicity 2)  4 Ta 2.68-2.92, 4 Rh 2.79-2.82, 4 Ag 2.87
Ag: 0.5000 0.5000 0.0000 (multiplicity 1)  2 Rh 2.80, 2 Ag 2.82, 8 Ta 2.87
Rh: 0.5000 0.5000 0.5000 (multiplicity 1)  8 Ta 2.79-2.82, 2 Ag 2.80, 2 Rh 2.82

## Properties
DOS at the Fermi energy (states/eV/cell): 3.03
Formation energy from the elements (eV/f.u.): -0.30
Total magnetization (μB per cell): 0.00
ρ (Mg/m³): 14.9

***

(12)
Computed, not measured: a geometry-optimized Ta2TcRu structure at the PBEsol level of DFT.

a b c (Å): 6.2841 6.2841 6.2841
angles (deg): 90.00 90.00 90.00
Closest atoms and distances in Å follow each position.
Space group Fm-3m (No. 225)
Unique sites:
Ta: 0.2500 0.2500 0.2500 (multiplicity 8)  4 Tc 2.72, 4 Ru 2.72
Tc: 0.0000 0.0000 0.0000 (multiplicity 4)  8 Ta 2.72
Ru: 0.0000 0.0000 0.5000 (multiplicity 4)  8 Ta 2.72

## Properties
DOS at the Fermi energy (states/eV/cell): 10.66
Formation energy from the elements (eV/f.u.): -1.55
Total magnetization (μB per cell): 0.00
ρ (Mg/m³): 15.0